The following is a PBE-GGA calculation of SmZrCdSn after structural relaxation, from Alexandria via LeMat-Bulk.

abc: 5.1932 5.1932 5.1932
angles: 60.00 60.00 60.00
Closest atoms and distances in Å follow each position.
Sites, in units of the cell vectors:
Zr1 0.0000 0.0000 0.0000  4 Sn 3.18, 4 Cd 3.18
Sm1 0.5000 0.5000 0.5000  4 Cd 3.18, 4 Sn 3.18
Cd1 0.7500 0.7500 0.7500  4 Zr 3.18, 4 Sm 3.18
Sn1 0.2500 0.2500 0.2500  4 Zr 3.18, 4 Sm 3.18

Calculated density (g/cm3): 7.93
Electronic total energy (eV per atom): -4.85
DFT formation energy (eV/atom): -0.302
Space group: F-43m (216)
N(E_F) (states/eV per cell): 4.1